Entry 1:
Entry from Alexandria via LeMat-Bulk: a relaxed Al2TcF crystal (PBE).

As for the formation energy without anion corrections: -186 meV/atom.

The space group is Fm-3m (No. 225) and the conventional cell measures 6.175, 6.175 and 6.175 Å, with angles of 90.00, 90.00 and 90.00 degrees. Symmetry generates all atoms from Al at (0.250, 0.250, 0.250), Tc at (0.000, 0.000, 0.000) and F at (0.000, 0.000, 0.500).

***

Entry 2:
Entry from Alexandria via LeMat-Bulk: a relaxed Rb3Tm2NpTe6 crystal (PBE).

As for the formation energy without anion corrections: -1190 meV/atom.

The space group is C2/m (No. 12) and the conventional cell measures 7.844, 13.607 and 8.937 Å, with angles of 90.00, 107.10 and 90.00 degrees. Symmetry generates all atoms from Rb at (0.000, 0.000, 0.000), Rb at (0.000, 0.335, 0.000), Tm at (0.000, 0.167, 0.500), Np at (0.000, 0.500, 0.500), Te at (0.225, 0.000, 0.698) and Te at (0.236, 0.329, 0.698).

***

Entry 3:
Entry from Alexandria via LeMat-Bulk: a relaxed CdP2Pb crystal (PBE).

The calculation puts the formation energy at 1.98 eV per formula unit.

The space group is I-4m2 (No. 119) and the conventional cell measures 3.989, 3.989 and 11.205 Å, with angles of 90.00, 90.00 and 90.00 degrees. Symmetry generates all atoms from Cd at (0.000, 0.000, 0.000), P at (0.000, 0.000, 0.500), P at (0.000, 0.500, 0.750) and Pb at (0.000, 0.500, 0.250).

***

Entry 4:
Entry from Alexandria via LeMat-Bulk: a relaxed Be2HAu crystal (PBE).

The calculation puts the energy relative to the lowest polymorph listed for this composition at 0.000 eV/f.u.

The space group is I-42d (No. 122) and the conventional cell measures 4.910, 4.910 and 6.299 Å, with angles of 90.00, 90.00 and 90.00 degrees. Symmetry generates all atoms from Be at (0.100, 0.250, 0.125), H at (0.000, 0.000, 0.000) and Au at (0.000, 0.000, 0.500).

***

Entry 5:
Entry from Alexandria via LeMat-Bulk: a relaxed Hf3Zr7Sc2 crystal (PBE).

The calculation puts the formation energy at 2.05 eV per formula unit.

The space group is Cmmm (No. 65) and the conventional cell measures 5.265, 33.896 and 3.161 Å, with angles of 90.00, 90.00 and 90.00 degrees. Symmetry generates all atoms from Hf at (0.000, 0.000, 0.000), Hf at (0.000, 0.151, 0.000), Zr at (0.000, 0.075, 0.500), Zr at (0.000, 0.229, 0.500), Zr at (0.000, 0.410, 0.000), Zr at (0.000, 0.500, 0.500) and Sc at (0.000, 0.322, 0.500).

***

Entry 6:
Entry from Alexandria via LeMat-Bulk: a relaxed CdP2Ir crystal (PBE).

The calculation puts the formation energy at 2.07 eV per formula unit.

The space group is I-4m2 (No. 119) and the conventional cell measures 3.922, 3.922 and 8.338 Å, with angles of 90.00, 90.00 and 90.00 degrees. Symmetry generates all atoms from Cd at (0.000, 0.000, 0.000), P at (0.000, 0.000, 0.500), P at (0.000, 0.500, 0.250) and Ir at (0.000, 0.500, 0.750).

***

| no. | raw total energy (eV/atom) |
| --- | --- |
| 1 | -5.12 |
| 2 | -4.83 |
| 3 | -3.37 |
| 4 | -3.39 |
| 5 | -8.36 |
| 6 | -4.63 |